Entry 1:
# PBEsol Dy3GaS6, optimized geometry
data_Dy3GaS6
_cell_length_a 10.531
_cell_length_b 13.079
_cell_length_c 6.378
_cell_angle_alpha 90.00
_cell_angle_beta 90.00
_cell_angle_gamma 90.00
_space_group_name_H-M_alt 'C m c 21'
_space_group_IT_number 36
loop_
_space_group_symop_operation_xyz
'x,y,z'
'-x,-y,z+1/2'
'-x,y,z'
'x,-y,z+1/2'
'x+1/2,y+1/2,z'
'-x+1/2,-y+1/2,z+1/2'
'-x+1/2,y+1/2,z'
'x+1/2,-y+1/2,z+1/2'
loop_
_atom_site_label
_atom_site_fract_x
_atom_site_fract_y
_atom_site_fract_z
Dy1 0.000 0.098 0.000
Dy2 0.184 0.402 0.905
Ga1 0.000 0.299 0.371
S1 0.000 0.281 0.723
S2 0.000 0.461 0.223
S3 0.162 0.032 0.704
S4 0.168 0.234 0.190
# - E_form (uncorrected): -1777 meV/atom


Entry 2:
# PBEsol BaMg2Zn, optimized geometry
data_BaMg2Zn
_cell_length_a 4.8451
_cell_length_b 4.8451
_cell_length_c 17.6835
_cell_angle_alpha 90.00
_cell_angle_beta 90.00
_cell_angle_gamma 120.00
_space_group_name_H-M_alt 'R 3 m'
_space_group_IT_number 160
_space_group_name_Hall 'R 3 -2"'
loop_
_atom_site_label
_atom_site_fract_x
_atom_site_fract_y
_atom_site_fract_z
Ba1 0.0000 0.0000 0.0000
Mg1 0.0000 0.0000 0.5227
Mg2 0.0000 0.0000 0.8026
Zn1 0.0000 0.0000 0.1938
# - Energy of formation: -0.045 eV/atom


Entry 3:
# PBEsol LiP2Ru, optimized geometry
data_LiP2Ru
_cell_length_a 2.9397
_cell_length_b 2.9397
_cell_length_c 22.1680
_cell_angle_alpha 90.00
_cell_angle_beta 90.00
_cell_angle_gamma 120.00
_space_group_name_H-M_alt 'R 3 m'
_space_group_IT_number 160
_space_group_name_Hall 'R 3 -2"'
loop_
_atom_site_label
_atom_site_fract_x
_atom_site_fract_y
_atom_site_fract_z
Li1 0.0000 0.0000 0.0000
P1 0.0000 0.0000 0.4945
P2 0.0000 0.0000 0.7553
Ru1 0.0000 0.0000 0.2325
# - Energy of formation: -0.014 eV/atom
# - E above lowest polymorph: 0.372 eV/atom


Entry 4:
# PBEsol ZrMn2Te, optimized geometry
data_ZrMn2Te
_cell_length_a 3.464
_cell_length_b 3.464
_cell_length_c 5.735
_cell_angle_alpha 90.00
_cell_angle_beta 90.00
_cell_angle_gamma 90.00
_space_group_name_H-M_alt 'P 4/m m m'
_space_group_IT_number 123
_space_group_name_Hall '-P 4 2'
loop_
_atom_site_label
_atom_site_fract_x
_atom_site_fract_y
_atom_site_fract_z
Zr1 0.000 0.000 0.000
Mn1 0.500 0.500 0.245
Te1 0.000 0.000 0.500
# - E_form (uncorrected): 4 meV/atom


Entry 5:
# PBEsol Al2C, optimized geometry
data_Al2C
_cell_length_a 4.625
_cell_length_b 5.060
_cell_length_c 3.083
_cell_angle_alpha 90.00
_cell_angle_beta 90.00
_cell_angle_gamma 90.00
_space_group_name_H-M_alt 'P n n m'
_space_group_IT_number 58
loop_
_space_group_symop_operation_xyz
'x,y,z'
'-x,-y,-z'
'-x,-y,z'
'x,y,-z'
'x+1/2,-y+1/2,-z+1/2'
'-x+1/2,y+1/2,z+1/2'
'-x+1/2,y+1/2,-z+1/2'
'x+1/2,-y+1/2,z+1/2'
loop_
_atom_site_label
_atom_site_fract_x
_atom_site_fract_y
_atom_site_fract_z
Al1 0.240 0.146 0.000
C1 0.000 0.500 0.000
# - Energy of formation: 0.233 eV/atom


Entry 6:
# PBEsol Cu2MoPb, optimized geometry
data_Cu2MoPb
_cell_length_a 3.980
_cell_length_b 3.980
_cell_length_c 3.855
_cell_angle_alpha 90.00
_cell_angle_beta 90.00
_cell_angle_gamma 90.00
_space_group_name_H-M_alt 'P 4/m m m'
_space_group_IT_number 123
_space_group_name_Hall '-P 4 2'
loop_
_atom_site_label
_atom_site_fract_x
_atom_site_fract_y
_atom_site_fract_z
Cu1 0.000 0.500 0.000
Mo1 0.000 0.000 0.500
Pb1 0.500 0.500 0.500
# - Energy of formation: 0.445 eV/atom